# 1
Below is a relaxed structure of Sr6O5F, with properties calculated at the PBE level.

abc: 6.389 6.392 6.394
angles: 60.01 80.40 70.51
Fractional coordinates of all 12 atoms:
Sr 0.255 0.915 0.654
Sr 0.260 0.259 0.000
Sr 0.255 0.569 0.346
Sr 0.745 0.085 0.346
Sr 0.740 0.741 0.000
Sr 0.745 0.431 0.654
O 0.000 0.667 0.666
O 0.500 0.834 0.333
O 0.500 0.500 0.000
O 0.500 0.166 0.667
O 0.000 0.333 0.334
F 0.000 0.000 0.000

Results
Raw formation energy   -32.1 eV per formula unit
Total energy   -5.74 eV/atom
Volume   213 Å³/cell


# 2
Below is a relaxed structure of TbHo4Tm2, with properties calculated at the PBE level.

abc: 3.543 3.543 19.765
angles: 90.00 90.00 120.00
Fractional coordinates of all 7 atoms:
Tb 0.714 0.428 0.666
Ho 0.048 0.097 0.238
Ho 0.381 0.761 0.811
Ho 0.048 0.096 0.955
Ho 0.381 0.762 0.522
Tm 0.715 0.430 0.380
Tm 0.715 0.430 0.097

Results
ΔE to the lowest computed polymorph   0.0 kJ per mole of atoms
Total energy   -4.55 eV/atom
ΔE_f   0.007 eV per atom
Volume   215 Å³/cell


# 3
Below is a relaxed structure of Ho3Al5S12, with properties calculated at the PBE level.

abc: 12.896 12.896 12.896
angles: 109.47 109.47 109.47
Fractional coordinates of all 80 atoms:
S 0.970 0.378 0.293
S 0.622 0.030 0.207
S 0.823 0.909 0.030
S 0.530 0.207 0.122
S 0.591 0.622 0.414
S 0.207 0.677 0.086
S 0.586 0.878 0.409
S 0.914 0.091 0.622
S 0.470 0.677 0.091
S 0.293 0.878 0.970
S 0.177 0.086 0.707
S 0.793 0.323 0.914
S 0.622 0.591 0.914
S 0.878 0.293 0.470
S 0.086 0.177 0.207
S 0.409 0.030 0.323
S 0.414 0.122 0.591
S 0.823 0.914 0.293
S 0.122 0.707 0.530
S 0.177 0.091 0.970
S 0.293 0.414 0.823
S 0.707 0.586 0.177
S 0.086 0.909 0.378
S 0.207 0.530 0.622
S 0.091 0.914 0.122
S 0.586 0.707 0.677
S 0.470 0.793 0.878
S 0.409 0.378 0.586
S 0.378 0.970 0.793
S 0.122 0.414 0.091
S 0.914 0.823 0.793
S 0.530 0.323 0.909
S 0.909 0.086 0.878
S 0.591 0.970 0.677
S 0.677 0.470 0.591
S 0.677 0.207 0.586
S 0.091 0.177 0.470
S 0.323 0.793 0.414
S 0.707 0.122 0.030
S 0.030 0.622 0.707
S 0.878 0.586 0.909
S 0.414 0.293 0.323
S 0.909 0.823 0.530
S 0.323 0.530 0.409
S 0.030 0.409 0.823
S 0.970 0.591 0.177
S 0.378 0.409 0.086
S 0.793 0.470 0.378
Ho 0.250 0.125 0.375
Ho 0.750 0.875 0.625
Ho 0.875 0.750 0.125
Ho 0.250 0.625 0.875
Ho 0.750 0.375 0.125
Ho 0.875 0.125 0.250
Ho 0.125 0.250 0.875
Ho 0.625 0.375 0.750
Ho 0.375 0.625 0.250
Ho 0.625 0.250 0.375
Ho 0.125 0.875 0.750
Ho 0.375 0.750 0.625
Al 0.875 0.250 0.625
Al 0.000 0.500 0.000
Al 0.750 0.625 0.375
Al 0.500 0.000 0.500
Al 0.000 0.000 0.500
Al 0.125 0.375 0.250
Al 0.125 0.750 0.375
Al 0.500 0.000 0.000
Al 0.500 0.500 0.500
Al 0.500 0.500 0.000
Al 0.625 0.875 0.250
Al 0.750 0.125 0.875
Al 0.250 0.875 0.125
Al 0.375 0.125 0.750
Al 0.250 0.375 0.625
Al 0.000 0.500 0.500
Al 0.875 0.625 0.750
Al 0.625 0.750 0.875
Al 0.000 0.000 0.000
Al 0.375 0.250 0.125

Results
Raw formation energy   -28.9 eV per formula unit
Total energy   -5.54 eV/atom
Volume   1651 Å³/cell